Model w:
Below is a geometry-optimized ErMnPd6 structure, with properties calculated at the GGA-PBE level.

Calculated values
DOS at the Fermi energy: 9.10 states/eV/cell

Geometry as CIF:
```
data_ErMnPd6
_chemical_formula_sum 'Er1 Mn1 Pd6'
_cell_length_a 4.027
_cell_length_b 4.027
_cell_length_c 7.999
_cell_angle_alpha 90.00
_cell_angle_beta 90.00
_cell_angle_gamma 90.00
_symmetry_space_group_name_H-M 'P 4/m m m'
_symmetry_Int_Tables_number 123
_symmetry_space_group_name_Hall '-P 4 2'
loop_
_atom_site_label
_atom_site_type_symbol
_atom_site_fract_x
_atom_site_fract_y
_atom_site_fract_z
_atom_site_occupancy
Er1 Er 0.000 0.000 0.000 1
Mn1 Mn 0.000 0.000 0.500 1
Pd1 Pd 0.000 0.500 0.262 1
Pd2 Pd 0.500 0.500 0.000 1
Pd3 Pd 0.500 0.500 0.500 1
```

***

Model x:
Below is a geometry-optimized ErMnPd6 structure, with properties calculated at the GGA-PBE level.

Calculated values
DOS at the Fermi energy: 9.49 states/eV/cell

Geometry as CIF:
```
data_ErMnPd6
_chemical_formula_sum 'Er2 Mn2 Pd12'
_cell_length_a 8.173
_cell_length_b 5.336
_cell_length_c 7.245
_cell_angle_alpha 90.00
_cell_angle_beta 109.52
_cell_angle_gamma 90.00
_symmetry_space_group_name_H-M 'C 1 2/m 1'
_symmetry_Int_Tables_number 12
_symmetry_space_group_name_Hall '-C 2y'
loop_
_atom_site_label
_atom_site_type_symbol
_atom_site_fract_x
_atom_site_fract_y
_atom_site_fract_z
_atom_site_occupancy
Er1 Er 0.000 0.000 0.000 1
Mn1 Mn 0.000 0.500 0.500 1
Pd1 Pd 0.143 0.000 0.437 1
Pd2 Pd 0.194 0.244 0.794 1
```

***

Result of the stability comparison: model x is the least stable of them.